(1)
A relaxed structure of PmMg2Cd10, computed with GGA-PBE.

Cell lengths 6.039, 7.642, 7.598 Å; angles 80.97, 66.59, 66.73 degrees
Atoms (fractional coordinates):
Cd  0.502  0.783  0.213
Cd  0.498  0.217  0.787
Cd  0.348  0.649  0.655
Cd  0.003  0.649  0.345
Cd  0.997  0.351  0.655
Cd  0.500  0.000  0.500
Cd  0.715  0.783  0.787
Cd  0.000  0.000  0.500
Cd  0.285  0.217  0.213
Cd  0.652  0.351  0.345
Mg  0.000  0.500  0.000
Mg  0.500  0.500  0.000
Pm  0.000  0.000  0.000

Properties
As for the total magnetization: 0.0 Bohr magnetons per cell. The value obtained for the energy of formation from the pure elements is -0.146 eV/atom. Its crystal system is orthorhombic.

---

(2)
A relaxed structure of PmMg2Cd5, computed with GGA-PBE.

Cell lengths 7.895, 7.895, 8.410 Å; angles 117.99, 117.99, 90.00 degrees
Atoms (fractional coordinates):
Cd  0.796  0.017  0.313
Cd  0.517  0.296  0.313
Cd  0.204  0.983  0.687
Cd  0.000  0.000  0.000
Cd  0.483  0.704  0.687
Cd  0.500  0.500  0.000
Cd  0.017  0.517  0.313
Cd  0.983  0.483  0.687
Cd  0.704  0.204  0.687
Cd  0.296  0.796  0.313
Mg  0.844  0.656  0.000
Mg  0.344  0.844  0.000
Mg  0.656  0.156  0.000
Mg  0.156  0.344  0.000
Pm  0.750  0.750  0.500
Pm  0.250  0.250  0.500

Properties
As for the total magnetization: 0.0 Bohr magnetons per cell. The value obtained for the energy of formation from the pure elements is -0.070 eV/atom. For the polymorph energy (0 for the lowest one), the calculation gives 0.93 eV/f.u. Its crystal system is tetragonal.